A relaxed structure of NaPr3Pt8. Source: the Open Quantum Materials Database, functional GGA-PBE.

Results
E_tot (eV/atom): -6.266
V (Å³/atom): 19.67
M_tot (μB/f.u.): 0.0

a = 9.538 Å, b = 9.538 Å, c = 9.538 Å
α = 33.55°, β = 33.55°, γ = 33.55°
Positions (direct):
Na 0.000 0.000 0.000
Pr 0.366 0.366 0.366
Pr 0.495 0.495 0.495
Pr 0.879 0.879 0.879
Pt 0.184 0.184 0.184
Pt 0.435 0.435 0.931
Pt 0.435 0.931 0.435
Pt 0.436 0.934 0.934
Pt 0.684 0.684 0.684
Pt 0.931 0.435 0.435
Pt 0.934 0.436 0.934
Pt 0.934 0.934 0.436


A relaxed structure of NaPrPtSe3. Source: the Open Quantum Materials Database, functional GGA-PBE.

Results
E_tot (eV/atom): -4.814
V (Å³/atom): 26.09
M_tot (μB/f.u.): 0.0

a = 7.468 Å, b = 7.468 Å, c = 10.682 Å
α = 90.00°, β = 90.00°, γ = 148.30°
Positions (direct):
Na 0.236 0.764 0.750
Na 0.764 0.236 0.250
Pr 0.000 0.000 0.000
Pr 0.000 0.000 0.500
Pt 0.491 0.509 0.250
Pt 0.509 0.491 0.750
Se 0.098 0.902 0.250
Se 0.363 0.637 0.088
Se 0.363 0.637 0.412
Se 0.637 0.363 0.588
Se 0.637 0.363 0.912
Se 0.902 0.098 0.750


A relaxed structure of NaPrPu. Source: the Open Quantum Materials Database, functional GGA-PBE.

Results
E_tot (eV/atom): -5.883
V (Å³/atom): 36.20
M_tot (μB/f.u.): 7.9

a = 5.355 Å, b = 5.355 Å, c = 5.355 Å
α = 60.00°, β = 60.00°, γ = 60.00°
Positions (direct):
Na 0.000 0.000 0.000
Pr 0.750 0.750 0.750
Pu 0.250 0.250 0.250